Sm2OsC2 | PBE-GGA | optimized geometry

Cell and atoms, written as POSCAR:
```
Sm2OsC2
1.0
-0.2039 -6.4085 -1.1376
5.1417 0.0584 -1.2503
2.3458 -1.7724 9.5643
Sm C Os
8 8 4
Cartesian
4.3686 -0.4815 1.1448
2.1774 -5.9676 3.0763
1.3385 -2.0524 -0.1908
2.8773 -4.3313 6.0312
4.4063 -3.7912 1.1452
2.9150 -7.6411 6.0316
5.1063 -2.1550 4.1001
5.9451 -6.0701 7.3672
1.8495 -0.6191 1.9777
4.7559 -6.0068 2.4796
2.5277 -2.1158 4.6968
3.8978 -2.0771 -0.8661
3.3858 -6.0455 8.0425
1.7794 -3.8474 1.5385
5.4341 -7.5034 5.1987
5.5042 -4.2752 5.6379
2.0772 -2.3542 2.8332
5.8291 -2.9576 7.0352
1.4546 -5.1650 0.1412
5.2064 -5.7684 4.3433
```

Properties
- Total DFT energy (no corrections): -8.12 eV per atom
- Crystal system: orthorhombic
- Space-group type: No. 62



Sm2Os3C5 | PBE-GGA | optimized geometry

Cell and atoms, written as POSCAR:
```
Sm2Os3C5
1.0
0.3593 5.2464 -1.3751
-3.2527 3.9083 -1.9210
-0.3550 -2.2005 7.7428
C Sm Os
5 2 3
Cartesian
-0.9393 3.2135 2.9412
-1.1097 4.1851 1.6868
-2.3162 2.4687 0.0378
-3.3386 3.5939 4.0451
-0.8424 4.8012 -1.5568
-3.2107 5.0044 -0.2591
-2.4442 1.0582 4.3420
-1.5646 4.0401 5.0756
-0.4783 3.3607 -0.4467
-2.8320 3.0296 2.0408
```

Properties
- Total DFT energy (no corrections): -8.61 eV per atom
- Crystal system: monoclinic
- Space-group type: No. 12



Sr2Os3C5 | PBE-GGA | optimized geometry

Cell and atoms, written as POSCAR:
```
Sr2Os3C5
1.0
5.2914 -2.1909 0.0000
5.2914 2.1909 0.0000
-3.9598 0.0000 6.0896
C Os Sr
5 3 2
Cartesian
0.8170 1.5172 4.7285
5.8098 0.0979 1.3649
5.8060 1.5172 1.3611
3.3115 -1.3941 3.0448
0.8133 0.0979 4.7247
1.4631 -1.3874 3.2675
5.1600 -1.3874 2.8221
5.2914 -1.3859 0.0000
3.1258 0.7981 1.3035
3.4973 0.7981 4.7861
```

Properties
- Total DFT energy (no corrections): -8.09 eV per atom
- Crystal system: monoclinic
- Space-group type: No. 5